# 1
LiGa2Ag | PBE | relaxed

The energy above the lowest structure with this stoichiometry is 0.0 meV per atom. The value obtained for the total energy is -11.56 eV for the cell shown. The energy relative to the elements is -184 meV per atom. The magnetization comes out at 0.000 μB/atom. The calculation puts the density of states at the Fermi level at 1.45 states/eV/f.u.

Structure (POSCAR):
```
LiGa2Ag
1.0
-1.895 -1.573 3.329
-2.907 -1.452 -2.341
2.057 -3.408 -0.440
Ga Ag Li
2 1 1
Cartesian
1.028 -1.704 -0.220
-1.453 -0.726 -1.171
-0.948 -0.787 1.665
-1.373 -3.217 0.274
```

***

# 2
Li8Ga2Ag | PBE | relaxed

The energy above the lowest structure with this stoichiometry is 45.6 meV per atom. The value obtained for the total energy is -25.47 eV for the cell shown. The energy relative to the elements is -114 meV per atom. The magnetization comes out at 0.000 μB/atom. The calculation puts the density of states at the Fermi level at 3.30 states/eV/f.u.

Structure (POSCAR):
```
Li8Ga2Ag
1.0
4.517 1.431 0.000
2.155 6.943 0.000
1.078 3.472 6.576
Li Ga Ag
8 2 1
Cartesian
4.232 2.736 1.615
5.309 6.208 4.961
2.212 3.251 0.000
4.414 7.659 2.713
3.336 4.187 3.863
4.460 5.124 0.000
2.441 5.638 1.615
3.518 9.110 4.961
1.077 3.472 2.490
2.155 6.943 4.086
2.259 0.715 0.000
```

***

# 3
LiGa6Ag3 | PBE | relaxed

The energy above the lowest structure with this stoichiometry is 0.0 meV per atom. The value obtained for the total energy is -58.55 eV for the cell shown. The energy relative to the elements is -65 meV per atom. The magnetization comes out at 0.000 μB/atom. The calculation puts the density of states at the Fermi level at 2.77 states/eV/f.u.

Structure (POSCAR):
```
LiGa6Ag3
1.0
7.134 0.068 -1.967
-2.600 6.643 -1.967
0.046 0.068 7.400
Li Ga Ag
2 12 6
Cartesian
0.000 0.000 0.000
2.290 3.390 1.733
-1.803 4.640 -0.311
3.526 6.720 -1.409
0.355 3.057 3.591
-0.019 5.780 5.116
1.510 4.436 -0.634
0.390 5.309 1.840
4.190 1.471 1.626
3.070 2.343 4.099
4.599 1.000 -1.651
4.224 3.723 -0.125
1.054 0.059 4.875
6.383 2.139 3.776
-0.320 2.650 0.963
1.628 0.692 2.220
2.434 5.011 4.036
2.145 1.769 -0.570
2.952 6.087 1.246
4.900 4.129 2.502
```